Co3NiW | PBE | relaxed

- Energy above the most stable polymorph in this dataset: 6.734 eV per formula unit
- ΔE_f: 1.727 eV per atom
- Raw total energy: -0.231 Ha/atom

The structure in CIF format:
```
data_Co3NiW
_chemical_formula_sum 'Co3 Ni1 W1'
_cell_length_a 4.3928
_cell_length_b 4.3928
_cell_length_c 4.3928
_cell_angle_alpha 90.00
_cell_angle_beta 90.00
_cell_angle_gamma 90.00
_symmetry_space_group_name_H-M 'P 1'
_symmetry_Int_Tables_number 1
_symmetry_space_group_name_Hall 'P 1'
loop_
_atom_site_label
_atom_site_type_symbol
_atom_site_fract_x
_atom_site_fract_y
_atom_site_fract_z
Co1 Co 0.0000 0.0000 0.5000
Co2 Co 0.0000 0.5000 0.0000
Co3 Co 0.5000 0.0000 0.0000
Ni1 Ni 0.5000 0.5000 0.5000
W1 W 0.0000 0.0000 0.0000
```

Be2SiSb | PBE | relaxed

- Energy above the most stable polymorph in this dataset: 1.319 eV per formula unit
- Energy relative to the elements, uncorrected: 0.649 eV per atom
- Raw total energy: -0.132 Ha/atom

The structure in CIF format:
```
data_Be2SiSb
_chemical_formula_sum 'Be2 Si1 Sb1'
_cell_length_a 4.1886
_cell_length_b 4.1886
_cell_length_c 4.0837
_cell_angle_alpha 106.20
_cell_angle_beta 106.20
_cell_angle_gamma 95.28
_symmetry_space_group_name_H-M 'P 1'
_symmetry_Int_Tables_number 1
_symmetry_space_group_name_Hall 'P 1'
loop_
_atom_site_label
_atom_site_type_symbol
_atom_site_fract_x
_atom_site_fract_y
_atom_site_fract_z
Be1 Be 0.0000 0.5000 0.0000
Be2 Be 0.5000 0.0000 0.0000
Si1 Si 0.0000 0.0000 0.5000
Sb1 Sb 0.5000 0.5000 0.5000
```

CaLaInAg2 | PBE | relaxed

- ΔE_f: 0.276 eV per atom
- Raw total energy: -0.103 Ha/atom

The structure in CIF format:
```
data_CaLaInAg2
_chemical_formula_sum 'Ca1 La1 In1 Ag2'
_cell_length_a 5.3307
_cell_length_b 5.3307
_cell_length_c 5.8877
_cell_angle_alpha 90.00
_cell_angle_beta 90.00
_cell_angle_gamma 90.00
_symmetry_space_group_name_H-M 'P 1'
_symmetry_Int_Tables_number 1
_symmetry_space_group_name_Hall 'P 1'
loop_
_atom_site_label
_atom_site_type_symbol
_atom_site_fract_x
_atom_site_fract_y
_atom_site_fract_z
Ca1 Ca 0.0000 0.0000 0.0000
La1 La 0.5000 0.5000 0.0000
In1 In 0.5000 0.5000 0.5000
Ag1 Ag 0.0000 0.5000 0.5000
Ag2 Ag 0.5000 0.0000 0.5000
```

Cr3HgP | PBE | relaxed

- Energy above the most stable polymorph in this dataset: 5.394 eV per formula unit
- ΔE_f: 1.665 eV per atom
- Raw total energy: -0.193 Ha/atom

The structure in CIF format:
```
data_Cr3HgP
_chemical_formula_sum 'Cr3 Hg1 P1'
_cell_length_a 5.0461
_cell_length_b 5.0461
_cell_length_c 5.0461
_cell_angle_alpha 90.00
_cell_angle_beta 90.00
_cell_angle_gamma 90.00
_symmetry_space_group_name_H-M 'P 1'
_symmetry_Int_Tables_number 1
_symmetry_space_group_name_Hall 'P 1'
loop_
_atom_site_label
_atom_site_type_symbol
_atom_site_fract_x
_atom_site_fract_y
_atom_site_fract_z
Cr1 Cr 0.0000 0.0000 0.5000
Cr2 Cr 0.0000 0.5000 0.0000
Cr3 Cr 0.5000 0.0000 0.0000
Hg1 Hg 0.0000 0.0000 0.0000
P1 P 0.5000 0.5000 0.5000
```